This record from Alexandria via LeMat-Bulk describes crystalline LaZnCo2 at its relaxed geometry. The functional is GGA-PBE.

It has space group F-43m (No. 216), with a = 6.6110 Å, b = 6.6110 Å, c = 6.6110 Å, α = 90.00°, β = 90.00° and γ = 90.00°. The inequivalent atoms are La at (0.0000, 0.0000, 0.0000), Zn at (0.2500, 0.2500, 0.2500), Co at (0.0000, 0.0000, 0.5000) and Co at (0.2500, 0.2500, 0.7500).

The volume comes out at 288.9 Å³/cell. The calculated formation energy comes out at 1.24 eV/f.u. The total magnetic moment comes out at 0.7039 μB per atom. As for the crystal system: cubic.